Entry 1:
The following is a DFT calculation (PBE) of an optimized crystal structure of V2FeRu8.

space group: C2/m (12)
DFT formation energy: 0.107 eV/atom
magnetization: 0.35 μB per atom
raw total energy: -9.066 eV/atom

Unit cell a=6.5995 b=6.5995 c=6.7377 alpha=120.05 beta=120.05 gamma=38.11
Fractional coordinates of all 11 atoms:
V 0.2319 0.2319 0.1203
V 0.7681 0.7681 0.8797
Fe 0.5000 0.5000 0.5000
Ru 0.0665 0.0665 0.2208
Ru 0.1356 0.1356 0.6812
Ru 0.3163 0.3163 0.5445
Ru 0.4037 0.4037 0.0420
Ru 0.5963 0.5963 0.9580
Ru 0.6837 0.6837 0.4555
Ru 0.8644 0.8644 0.3188
Ru 0.9335 0.9335 0.7792

Entry 2:
The following is a DFT calculation (PBE) of an optimized crystal structure of CaMn4Pt.

space group: F-43m (216)
DFT formation energy: 0.260 eV/atom
magnetization: 1.40 μB per atom
raw total energy: -7.194 eV/atom

Unit cell a=4.9831 b=4.9831 c=4.9831 alpha=60.00 beta=60.00 gamma=60.00
Fractional coordinates of all 6 atoms:
Ca 0.0000 0.0000 0.0000
Mn 0.1250 0.6250 0.6250
Mn 0.6250 0.1250 0.6250
Mn 0.6250 0.6250 0.1250
Mn 0.6250 0.6250 0.6250
Pt 0.2500 0.2500 0.2500

Entry 3:
The following is a DFT calculation (PBE) of an optimized crystal structure of CaRe2C.

space group: I4_1/amd (141)
DFT formation energy: 0.984 eV/atom
magnetization: 0.00 μB per atom
raw total energy: -8.046 eV/atom

Unit cell a=6.9403 b=6.9403 c=6.9403 alpha=134.82 beta=134.82 gamma=65.80
Fractional coordinates of all 8 atoms:
Ca 0.3750 0.6250 0.7500
Ca 0.6250 0.3750 0.2500
Re 0.0000 0.0000 0.0000
Re 0.0000 0.0000 0.5000
Re 0.0000 0.5000 0.0000
Re 0.5000 0.0000 0.5000
C 0.1250 0.8750 0.2500
C 0.8750 0.1250 0.7500

Entry 4:
The following is a DFT calculation (PBE) of an optimized crystal structure of BaHfNF2.

E above lowest polymorph: 41.88 kcal/mol of atoms
space group: P4/mmm (123)
magnetization: 0.24 μB per atom
formation energy without anion corrections: -0.411 eV per atom
raw total energy: -5.200 eV/atom

Unit cell a=4.6540 b=4.6540 c=5.6083 alpha=90.00 beta=90.00 gamma=90.00
Fractional coordinates of all 5 atoms:
Ba 0.0000 0.0000 0.0000
Hf 0.5000 0.5000 0.5000
N 0.0000 0.0000 0.5000
F 0.0000 0.5000 0.0000
F 0.5000 0.0000 0.0000

Entry 5:
The following is a DFT calculation (PBE) of an optimized crystal structure of Te2Mo4Cl.

space group: I4/mmm (139)
magnetization: 0.21 μB per atom
formation energy without anion corrections: 1.031 eV per atom
raw total energy: -6.320 eV/atom

Unit cell a=7.4998 b=7.4998 c=7.4998 alpha=145.17 beta=145.17 gamma=50.07
Fractional coordinates of all 7 atoms:
Te 0.1336 0.1336 0.0000
Te 0.8664 0.8664 0.0000
Mo 0.0000 0.5000 0.5000
Mo 0.3275 0.3275 0.0000
Mo 0.5000 0.0000 0.5000
Mo 0.6725 0.6725 0.0000
Cl 0.5000 0.5000 0.0000

Entry 6:
The following is a DFT calculation (PBE) of an optimized crystal structure of Pr3Si5Se12.

space group: Ia-3d (230)
magnetization: 0.00 μB per atom
formation energy without anion corrections: -0.813 eV per atom
raw total energy: -4.976 eV/atom

Unit cell a=13.8737 b=13.8737 c=13.8737 alpha=109.47 beta=109.47 gamma=109.47
Fractional coordinates of all 80 atoms:
Pr 0.1250 0.2500 0.3750
Pr 0.1250 0.3750 0.7500
Pr 0.2500 0.3750 0.1250
Pr 0.2500 0.8750 0.6250
Pr 0.3750 0.1250 0.2500
Pr 0.3750 0.7500 0.1250
Pr 0.6250 0.2500 0.8750
Pr 0.6250 0.8750 0.7500
Pr 0.7500 0.1250 0.3750
Pr 0.7500 0.6250 0.8750
Pr 0.8750 0.6250 0.2500
Pr 0.8750 0.7500 0.6250
Si 0.0000 0.0000 0.0000
Si 0.0000 0.0000 0.5000
Si 0.0000 0.5000 0.0000
Si 0.0000 0.5000 0.5000
Si 0.1250 0.7500 0.8750
Si 0.1250 0.8750 0.2500
Si 0.2500 0.1250 0.8750
Si 0.2500 0.6250 0.3750
Si 0.3750 0.2500 0.6250
Si 0.3750 0.6250 0.7500
Si 0.5000 0.0000 0.0000
Si 0.5000 0.0000 0.5000
Si 0.5000 0.5000 0.0000
Si 0.5000 0.5000 0.5000
Si 0.6250 0.3750 0.2500
Si 0.6250 0.7500 0.3750
Si 0.7500 0.3750 0.6250
Si 0.7500 0.8750 0.1250
Si 0.8750 0.1250 0.7500
Si 0.8750 0.2500 0.1250
Se 0.0257 0.2103 0.1214
Se 0.0257 0.3154 0.9042
Se 0.0889 0.7103 0.6846
Se 0.0889 0.8786 0.4042
Se 0.0958 0.6214 0.4111
Se 0.0958 0.9743 0.6846
Se 0.1214 0.0257 0.2103
Se 0.1214 0.5958 0.9111
Se 0.1846 0.2103 0.5889
Se 0.1846 0.4743 0.5958
Se 0.2103 0.1214 0.0257
Se 0.2103 0.5889 0.1846
Se 0.2897 0.3154 0.9111
Se 0.2897 0.4743 0.3786
Se 0.3154 0.9042 0.0257
Se 0.3154 0.9111 0.2897
Se 0.3786 0.2897 0.4743
Se 0.3786 0.5889 0.9042
Se 0.4042 0.0889 0.8786
Se 0.4042 0.8154 0.5257
Se 0.4111 0.0958 0.6214
Se 0.4111 0.8154 0.7897
Se 0.4743 0.3786 0.2897
Se 0.4743 0.5958 0.1846
Se 0.5257 0.4042 0.8154
Se 0.5257 0.6214 0.7103
Se 0.5889 0.1846 0.2103
Se 0.5889 0.9042 0.3786
Se 0.5958 0.1846 0.4743
Se 0.5958 0.9111 0.1214
Se 0.6214 0.4111 0.0958
Se 0.6214 0.7103 0.5257
Se 0.6846 0.0889 0.7103
Se 0.6846 0.0958 0.9743
Se 0.7103 0.5257 0.6214
Se 0.7103 0.6846 0.0889
Se 0.7897 0.4111 0.8154
Se 0.7897 0.8786 0.9743
Se 0.8154 0.5257 0.4042
Se 0.8154 0.7897 0.4111
Se 0.8786 0.4042 0.0889
Se 0.8786 0.9743 0.7897
Se 0.9042 0.0257 0.3154
Se 0.9042 0.3786 0.5889
Se 0.9111 0.1214 0.5958
Se 0.9111 0.2897 0.3154
Se 0.9743 0.6846 0.0958
Se 0.9743 0.7897 0.8786

Entry 7:
The following is a DFT calculation (PBE) of an optimized crystal structure of PrDyCo2.

E above lowest polymorph: 0.00 kcal/mol of atoms
space group: Pmc2_1 (26)
DFT formation energy: -0.107 eV/atom
magnetization: 0.12 μB per atom
raw total energy: -6.005 eV/atom

Unit cell a=3.8995 b=5.7160 c=7.6654 alpha=90.00 beta=90.00 gamma=90.00
Fractional coordinates of all 8 atoms:
Pr 0.0000 0.1308 0.0000
Pr 0.0000 0.8692 0.5000
Dy 0.5000 0.3716 0.6429
Dy 0.5000 0.6284 0.1429
Co 0.0000 0.3619 0.3540
Co 0.0000 0.6381 0.8540
Co 0.5000 0.1739 0.2992
Co 0.5000 0.8261 0.7992

Entry 8:
The following is a DFT calculation (PBE) of an optimized crystal structure of Th6SiC4.

space group: Cmcm (63)
magnetization: 0.00 μB per atom
formation energy without anion corrections: -0.367 eV per atom
raw total energy: -8.261 eV/atom

Unit cell a=6.5657 b=6.5657 c=19.6478 alpha=90.00 beta=90.00 gamma=145.82
Fractional coordinates of all 22 atoms:
Th 0.0000 0.0000 0.0000
Th 0.0000 0.0000 0.5000
Th 0.1527 0.8473 0.7500
Th 0.2765 0.7235 0.0795
Th 0.2765 0.7235 0.4205
Th 0.4537 0.5463 0.6531
Th 0.4537 0.5463 0.8469
Th 0.5463 0.4537 0.1531
Th 0.5463 0.4537 0.3469
Th 0.7235 0.2765 0.5795
Th 0.7235 0.2765 0.9205
Th 0.8473 0.1527 0.2500
Si 0.1671 0.8329 0.2500
Si 0.8329 0.1671 0.7500
C 0.0840 0.9160 0.6266
C 0.0840 0.9160 0.8734
C 0.3591 0.6409 0.5402
C 0.3591 0.6409 0.9598
C 0.6409 0.3591 0.0402
C 0.6409 0.3591 0.4598
C 0.9160 0.0840 0.1266
C 0.9160 0.0840 0.3734

Entry 9:
The following is a DFT calculation (PBE) of an optimized crystal structure of AgH2Pt2.

E above lowest polymorph: 1.97 kcal/mol of atoms
space group: I4/mcm (140)
magnetization: 0.00 μB per atom
raw total energy: -4.192 eV/atom

Unit cell a=5.5568 b=5.5568 c=5.5568 alpha=115.99 beta=115.99 gamma=97.09
Fractional coordinates of all 10 atoms:
Ag 0.2500 0.2500 0.0000
Ag 0.7500 0.7500 0.0000
H 0.1105 0.6105 0.7211
H 0.3895 0.1105 0.5000
H 0.6105 0.8895 0.5000
H 0.8895 0.3895 0.2789
Pt 0.1835 0.3165 0.5000
Pt 0.3165 0.8165 0.1329
Pt 0.6835 0.1835 0.8671
Pt 0.8165 0.6835 0.5000

Entry 10:
The following is a DFT calculation (PBE) of an optimized crystal structure of La2PuZnSe5.

space group: Cmc2_1 (36)
magnetization: 0.64 μB per atom
formation energy without anion corrections: -1.590 eV per atom
raw total energy: -6.355 eV/atom

Unit cell a=9.2971 b=9.2971 c=12.3382 alpha=90.00 beta=90.00 gamma=154.15
Fractional coordinates of all 18 atoms:
La 0.1148 0.8852 0.5000
La 0.1251 0.8749 0.1265
La 0.8749 0.1251 0.6265
La 0.8852 0.1148 0.0000
Pu 0.2018 0.7982 0.8261
Pu 0.7982 0.2018 0.3261
Zn 0.4433 0.5567 0.2686
Zn 0.5567 0.4433 0.7686
Se 0.0428 0.9572 0.8754
Se 0.2918 0.7082 0.4900
Se 0.3154 0.6846 0.1639
Se 0.3619 0.6381 0.8168
Se 0.4986 0.5014 0.5899
Se 0.5014 0.4986 0.0899
Se 0.6381 0.3619 0.3168
Se 0.6846 0.3154 0.6639
Se 0.7082 0.2918 0.9900
Se 0.9572 0.0428 0.3754

Entry 11:
The following is a DFT calculation (PBE) of an optimized crystal structure of Ni2AsAu2.

E above lowest polymorph: 0.00 kcal/mol of atoms
space group: P4/mbm (127)
DFT formation energy: 0.028 eV/atom
magnetization: 0.00 μB per atom
raw total energy: -4.526 eV/atom

Unit cell a=6.0641 b=6.0641 c=4.1712 alpha=90.00 beta=90.00 gamma=90.00
Fractional coordinates of all 10 atoms:
Ni 0.1447 0.3553 0.0000
Ni 0.3553 0.8553 0.0000
Ni 0.6447 0.1447 0.0000
Ni 0.8553 0.6447 0.0000
As 0.0000 0.0000 0.0000
As 0.5000 0.5000 0.0000
Au 0.1627 0.6627 0.5000
Au 0.3373 0.1627 0.5000
Au 0.6627 0.8373 0.5000
Au 0.8373 0.3373 0.5000

Entry 12:
The following is a DFT calculation (PBE) of an optimized crystal structure of Sn2HgPt2.

E above lowest polymorph: 0.00 kcal/mol of atoms
space group: P4/mbm (127)
DFT formation energy: -0.223 eV/atom
magnetization: 0.00 μB per atom
raw total energy: -4.300 eV/atom

Unit cell a=7.5280 b=7.5280 c=3.6793 alpha=90.00 beta=90.00 gamma=90.00
Fractional coordinates of all 10 atoms:
Sn 0.1576 0.3424 0.0000
Sn 0.3424 0.8424 0.0000
Sn 0.6576 0.1576 0.0000
Sn 0.8424 0.6576 0.0000
Hg 0.0000 0.0000 0.5000
Hg 0.5000 0.5000 0.5000
Pt 0.1395 0.6395 0.5000
Pt 0.3605 0.1395 0.5000
Pt 0.6395 0.8605 0.5000
Pt 0.8605 0.3605 0.5000

Entry 13:
The following is a DFT calculation (PBE) of an optimized crystal structure of Li2Ce2TmGe2.

space group: R-3m (166)
DFT formation energy: -0.466 eV/atom
magnetization: 0.31 μB per atom
raw total energy: -4.666 eV/atom

Unit cell a=9.0394 b=9.0394 c=9.0394 alpha=28.02 beta=28.02 gamma=28.02
Fractional coordinates of all 7 atoms:
Li 0.0972 0.0972 0.0972
Li 0.9028 0.9028 0.9028
Ce 0.3594 0.3594 0.3594
Ce 0.6406 0.6406 0.6406
Tm 0.5000 0.5000 0.5000
Ge 0.2325 0.2325 0.2325
Ge 0.7675 0.7675 0.7675

Entry 14:
The following is a DFT calculation (PBE) of an optimized crystal structure of Nd2AgSn4Pt3.

space group: P-4m2 (115)
DFT formation energy: -0.741 eV/atom
magnetization: 0.00 μB per atom
raw total energy: -5.393 eV/atom

Unit cell a=4.5909 b=4.5909 c=10.9225 alpha=90.00 beta=90.00 gamma=90.00
Fractional coordinates of all 10 atoms:
Nd 0.0000 0.5000 0.2429
Nd 0.5000 0.0000 0.7571
Ag 0.5000 0.5000 0.0000
Sn 0.0000 0.0000 0.5000
Sn 0.0000 0.5000 0.8650
Sn 0.5000 0.0000 0.1350
Sn 0.5000 0.5000 0.5000
Pt 0.0000 0.0000 0.0000
Pt 0.0000 0.5000 0.6269
Pt 0.5000 0.0000 0.3731

Entry 15:
The following is a DFT calculation (PBE) of an optimized crystal structure of CdBO2.

E above lowest polymorph: 49.84 kcal/mol of atoms
space group: Fm-3m (225)
magnetization: 0.00 μB per atom
formation energy without anion corrections: 0.632 eV per atom
raw total energy: -3.745 eV/atom

Unit cell a=3.9025 b=3.9025 c=3.9025 alpha=60.00 beta=60.00 gamma=60.00
Fractional coordinates of all 4 atoms:
Cd 0.0000 0.0000 0.0000
B 0.5000 0.5000 0.5000
O 0.2500 0.2500 0.2500
O 0.7500 0.7500 0.7500

Entry 16:
The following is a DFT calculation (PBE) of an optimized crystal structure of ScTaSeN2.

E above lowest polymorph: 28.53 kcal/mol of atoms
space group: P4/mmm (123)
magnetization: 0.00 μB per atom
formation energy without anion corrections: 0.797 eV per atom
raw total energy: -6.867 eV/atom

Unit cell a=4.0119 b=4.0119 c=5.0589 alpha=90.00 beta=90.00 gamma=90.00
Fractional coordinates of all 5 atoms:
Sc 0.0000 0.0000 0.0000
Ta 0.5000 0.5000 0.5000
Se 0.0000 0.0000 0.5000
N 0.0000 0.5000 0.0000
N 0.5000 0.0000 0.0000

Entry 17:
The following is a DFT calculation (PBE) of an optimized crystal structure of CrRe3H.

E above lowest polymorph: 0.00 kcal/mol of atoms
space group: Pm-3m (221)
magnetization: 0.00 μB per atom
raw total energy: -9.836 eV/atom

Unit cell a=3.9070 b=3.9070 c=3.9070 alpha=90.00 beta=90.00 gamma=90.00
Fractional coordinates of all 5 atoms:
Cr 0.0000 0.0000 0.0000
Re 0.0000 0.5000 0.5000
Re 0.5000 0.0000 0.5000
Re 0.5000 0.5000 0.0000
H 0.5000 0.5000 0.5000

Entry 18:
The following is a DFT calculation (PBE) of an optimized crystal structure of Nb3GaB.

E above lowest polymorph: 0.00 kcal/mol of atoms
space group: P6_3/mmc (194)
DFT formation energy: -0.236 eV/atom
magnetization: 0.00 μB per atom
raw total energy: -8.219 eV/atom

Unit cell a=6.1007 b=6.1007 c=4.9273 alpha=90.00 beta=90.00 gamma=120.00
Fractional coordinates of all 10 atoms:
Nb 0.1741 0.3482 0.2500
Nb 0.1741 0.8259 0.2500
Nb 0.3482 0.1741 0.7500
Nb 0.6518 0.8259 0.2500
Nb 0.8259 0.1741 0.7500
Nb 0.8259 0.6518 0.7500
Ga 0.3333 0.6667 0.7500
Ga 0.6667 0.3333 0.2500
B 0.0000 0.0000 0.0000
B 0.0000 0.0000 0.5000

Entry 19:
The following is a DFT calculation (PBE) of an optimized crystal structure of KSnB.

space group: P1 (1)
DFT formation energy: 0.156 eV/atom
magnetization: 0.00 μB per atom
raw total energy: -3.770 eV/atom

Unit cell a=3.2299 b=6.8093 c=6.9329 alpha=93.66 beta=90.01 gamma=90.09
Fractional coordinates of all 6 atoms:
K 0.0000 0.0000 0.0000
K 0.0009 0.4951 0.2973
Sn 0.5000 0.0459 0.4927
Sn 0.5012 0.4082 0.7955
B 0.4928 0.7377 0.6620
B 0.9922 0.7107 0.6745